Material: Ba2HgAs
Method: DFT, meta-GGA SCAN
State: PBEsol geometry

Geometry as POSCAR:
```
Ba2HgAs
1.0
-3.944 2.104 1.500
-3.591 -2.597 1.612
0.586 0.249 8.604
As Hg Ba
1 1 2
Cartesian
0.000 0.000 0.000 As
-3.475 -0.122 5.858 Hg
-1.858 -0.077 2.635 Ba
-5.092 -0.167 9.081 Ba
```

Calculated values
calculated volume	158	Å³/f.u.
DFT formation energy	-924.5	meV per atom
relative energy among the computed polymorphs	0.034	eV/atom